## CsCu2SiGe (GGA-PBE)

Data for CsCu2SiGe after structural relaxation.

Unit cell a=4.6004 b=4.6004 c=6.3594 alpha=90.00 beta=90.00 gamma=90.00
Positions (direct):
1 Cs 0.0000 0.0000 0.0000
2 Cu 0.0000 0.5000 0.5000
3 Cu 0.5000 0.0000 0.5000
4 Si 0.0000 0.0000 0.5000
5 Ge 0.5000 0.5000 0.0000

Values from the calculation:
Uncorrected formation energy   0.852 eV/atom

***

## CsCu2GeTe4 (GGA-PBE)

Data for CsCu2GeTe4 after structural relaxation.

Unit cell a=7.5044 b=7.5044 c=7.5044 alpha=124.72 beta=103.14 gamma=101.72
Positions (direct):
1 Cs 0.0000 0.0000 0.0000
2 Cu 0.3696 0.8696 0.5000
3 Cu 0.6304 0.1304 0.5000
4 Ge 0.5000 0.5000 0.0000
5 Te 0.1831 0.1238 0.6096
6 Te 0.4858 0.8762 0.0593
7 Te 0.5142 0.5734 0.3904
8 Te 0.8169 0.4266 0.9407

Values from the calculation:
Uncorrected formation energy   -0.175 eV/atom

***

## Cs12Cu3H5 (GGA-PBE)

Data for Cs12Cu3H5 after structural relaxation.

Unit cell a=17.1808 b=17.1808 c=17.1808 alpha=109.47 beta=109.47 gamma=109.47
Positions (direct):
1 Cs 0.0241 0.2032 0.1239
2 Cs 0.0241 0.3209 0.9002
3 Cs 0.0793 0.7032 0.6791
4 Cs 0.0793 0.8761 0.4002
5 Cs 0.0998 0.6239 0.4207
6 Cs 0.0998 0.9759 0.6791
7 Cs 0.1239 0.0241 0.2032
8 Cs 0.1239 0.5998 0.9207
9 Cs 0.1791 0.2032 0.5793
10 Cs 0.1791 0.4759 0.5998
11 Cs 0.2032 0.1239 0.0241
12 Cs 0.2032 0.5793 0.1791
13 Cs 0.2968 0.3209 0.9207
14 Cs 0.2968 0.4759 0.3761
15 Cs 0.3209 0.9002 0.0241
16 Cs 0.3209 0.9207 0.2968
17 Cs 0.3761 0.2968 0.4759
18 Cs 0.3761 0.5793 0.9002
19 Cs 0.4002 0.0793 0.8761
20 Cs 0.4002 0.8209 0.5241
21 Cs 0.4207 0.0998 0.6239
22 Cs 0.4207 0.8209 0.7968
23 Cs 0.4759 0.3761 0.2968
24 Cs 0.4759 0.5998 0.1791
25 Cs 0.5241 0.4002 0.8209
26 Cs 0.5241 0.6239 0.7032
27 Cs 0.5793 0.1791 0.2032
28 Cs 0.5793 0.9002 0.3761
29 Cs 0.5998 0.1791 0.4759
30 Cs 0.5998 0.9207 0.1239
31 Cs 0.6239 0.4207 0.0998
32 Cs 0.6239 0.7032 0.5241
33 Cs 0.6791 0.0793 0.7032
34 Cs 0.6791 0.0998 0.9759
35 Cs 0.7032 0.5241 0.6239
36 Cs 0.7032 0.6791 0.0793
37 Cs 0.7968 0.4207 0.8209
38 Cs 0.7968 0.8761 0.9759
39 Cs 0.8209 0.5241 0.4002
40 Cs 0.8209 0.7968 0.4207
41 Cs 0.8761 0.4002 0.0793
42 Cs 0.8761 0.9759 0.7968
43 Cs 0.9002 0.0241 0.3209
44 Cs 0.9002 0.3761 0.5793
45 Cs 0.9207 0.1239 0.5998
46 Cs 0.9207 0.2968 0.3209
47 Cs 0.9759 0.6791 0.0998
48 Cs 0.9759 0.7968 0.8761
49 Cu 0.1250 0.2500 0.3750
50 Cu 0.1250 0.3750 0.7500
51 Cu 0.2500 0.3750 0.1250
52 Cu 0.2500 0.8750 0.6250
53 Cu 0.3750 0.1250 0.2500
54 Cu 0.3750 0.7500 0.1250
55 Cu 0.6250 0.2500 0.8750
56 Cu 0.6250 0.8750 0.7500
57 Cu 0.7500 0.1250 0.3750
58 Cu 0.7500 0.6250 0.8750
59 Cu 0.8750 0.6250 0.2500
60 Cu 0.8750 0.7500 0.6250
61 H 0.0000 0.0000 0.0000
62 H 0.0000 0.0000 0.5000
63 H 0.0000 0.5000 0.0000
64 H 0.0000 0.5000 0.5000
65 H 0.1250 0.7500 0.8750
66 H 0.1250 0.8750 0.2500
67 H 0.2500 0.1250 0.8750
68 H 0.2500 0.6250 0.3750
69 H 0.3750 0.2500 0.6250
70 H 0.3750 0.6250 0.7500
71 H 0.5000 0.0000 0.0000
72 H 0.5000 0.0000 0.5000
73 H 0.5000 0.5000 0.0000
74 H 0.5000 0.5000 0.5000
75 H 0.6250 0.3750 0.2500
76 H 0.6250 0.7500 0.3750
77 H 0.7500 0.3750 0.6250
78 H 0.7500 0.8750 0.1250
79 H 0.8750 0.1250 0.7500
80 H 0.8750 0.2500 0.1250

Values from the calculation:
Raw total energy   -1.85 eV/atom

***

## CsCu2H (GGA-PBE)

Data for CsCu2H after structural relaxation.

Unit cell a=5.0218 b=5.0218 c=5.0218 alpha=60.00 beta=60.00 gamma=60.00
Positions (direct):
1 Cs 0.0000 0.0000 0.0000
2 Cu 0.2500 0.2500 0.2500
3 Cu 0.7500 0.7500 0.7500
4 H 0.5000 0.5000 0.5000

Values from the calculation:
Raw total energy   -1.77 eV/atom

***

## Cs3Cu2H7 (GGA-PBE)

Data for Cs3Cu2H7 after structural relaxation.

Unit cell a=12.0969 b=12.0969 c=3.9689 alpha=90.00 beta=90.00 gamma=159.84
Positions (direct):
1 Cs 0.0000 0.0000 0.0000
2 Cs 0.1701 0.8299 0.0000
3 Cs 0.8299 0.1701 0.0000
4 Cu 0.4188 0.5812 0.5000
5 Cu 0.5812 0.4188 0.5000
6 H 0.0839 0.9161 0.5000
7 H 0.3498 0.6502 0.5000
8 H 0.4182 0.5818 0.0000
9 H 0.5000 0.5000 0.5000
10 H 0.5818 0.4182 0.0000
11 H 0.6502 0.3498 0.5000
12 H 0.9161 0.0839 0.5000

Values from the calculation:
Raw total energy   -2.73 eV/atom

***

## Cs2CuH (GGA-PBE)

Data for Cs2CuH after structural relaxation.

Unit cell a=7.7318 b=7.7318 c=7.7318 alpha=112.34 beta=112.34 gamma=103.87
Positions (direct):
1 Cs 0.0652 0.1250 0.4402
2 Cs 0.3750 0.9348 0.0598
3 Cs 0.6848 0.6250 0.5598
4 Cs 0.8750 0.3152 0.9402
5 Cu 0.2500 0.7500 0.5000
6 Cu 0.5000 0.5000 0.0000
7 H 0.0000 0.0000 0.0000
8 H 0.7500 0.2500 0.5000

Values from the calculation:
Raw total energy   -2.09 eV/atom

***

## Cs2CuH4 (GGA-PBE)

Data for Cs2CuH4 after structural relaxation.

Unit cell a=6.1463 b=6.0088 c=9.2536 alpha=90.00 beta=102.31 gamma=90.00
Positions (direct):
1 Cs 0.2098 0.2500 0.4087
2 Cs 0.2801 0.7500 0.0433
3 Cs 0.7199 0.2500 0.9567
4 Cs 0.7902 0.7500 0.5913
5 Cu 0.1420 0.2500 0.7731
6 Cu 0.8580 0.7500 0.2269
7 H 0.0725 0.7500 0.3603
8 H 0.1965 0.5053 0.7524
9 H 0.1965 0.9947 0.7524
10 H 0.2382 0.2500 0.9489
11 H 0.7618 0.7500 0.0511
12 H 0.8035 0.0053 0.2476
13 H 0.8035 0.4947 0.2476
14 H 0.9275 0.2500 0.6397

Values from the calculation:
Raw total energy   -2.78 eV/atom

***

## Cs2Cu2H (GGA-PBE)

Data for Cs2Cu2H after structural relaxation.

Unit cell a=10.1246 b=10.1246 c=10.1246 alpha=159.28 beta=159.28 gamma=29.47
Positions (direct):
1 Cs 0.0966 0.0966 0.0000
2 Cs 0.9034 0.9034 0.0000
3 Cu 0.2500 0.7500 0.5000
4 Cu 0.7500 0.2500 0.5000
5 H 0.5000 0.5000 0.0000

Values from the calculation:
Raw total energy   -2.42 eV/atom

***

## CsCu2H2 (GGA-PBE)

Data for CsCu2H2 after structural relaxation.

Unit cell a=7.2498 b=7.2498 c=7.2498 alpha=151.25 beta=151.25 gamma=41.11
Positions (direct):
1 Cs 0.0000 0.0000 0.0000
2 Cu 0.2616 0.2616 0.0000
3 Cu 0.7384 0.7384 0.0000
4 H 0.2500 0.7500 0.5000
5 H 0.7500 0.2500 0.5000

Values from the calculation:
Raw total energy   -2.89 eV/atom

***

## Cs2CuH (GGA-PBE)

Data for Cs2CuH after structural relaxation.

Unit cell a=5.9066 b=5.9066 c=5.9066 alpha=60.00 beta=60.00 gamma=60.00
Positions (direct):
1 Cs 0.2500 0.2500 0.2500
2 Cs 0.7500 0.7500 0.7500
3 Cu 0.0000 0.0000 0.0000
4 H 0.5000 0.5000 0.5000

Values from the calculation:
Raw total energy   -2.06 eV/atom

***

## Cs3Cu5H12 (GGA-PBE)

Data for Cs3Cu5H12 after structural relaxation.

Unit cell a=10.9613 b=10.9613 c=10.9613 alpha=109.47 beta=109.47 gamma=109.47
Positions (direct):
1 Cs 0.1250 0.2500 0.3750
2 Cs 0.1250 0.3750 0.7500
3 Cs 0.2500 0.3750 0.1250
4 Cs 0.2500 0.8750 0.6250
5 Cs 0.3750 0.1250 0.2500
6 Cs 0.3750 0.7500 0.1250
7 Cs 0.6250 0.2500 0.8750
8 Cs 0.6250 0.8750 0.7500
9 Cs 0.7500 0.1250 0.3750
10 Cs 0.7500 0.6250 0.8750
11 Cs 0.8750 0.6250 0.2500
12 Cs 0.8750 0.7500 0.6250
13 Cu 0.0000 0.0000 0.0000
14 Cu 0.0000 0.0000 0.5000
15 Cu 0.0000 0.5000 0.0000
16 Cu 0.0000 0.5000 0.5000
17 Cu 0.1250 0.7500 0.8750
18 Cu 0.1250 0.8750 0.2500
19 Cu 0.2500 0.1250 0.8750
20 Cu 0.2500 0.6250 0.3750
21 Cu 0.3750 0.2500 0.6250
22 Cu 0.3750 0.6250 0.7500
23 Cu 0.5000 0.0000 0.0000
24 Cu 0.5000 0.0000 0.5000
25 Cu 0.5000 0.5000 0.0000
26 Cu 0.5000 0.5000 0.5000
27 Cu 0.6250 0.3750 0.2500
28 Cu 0.6250 0.7500 0.3750
29 Cu 0.7500 0.3750 0.6250
30 Cu 0.7500 0.8750 0.1250
31 Cu 0.8750 0.1250 0.7500
32 Cu 0.8750 0.2500 0.1250
33 H 0.0402 0.6923 0.1073
34 H 0.0402 0.8480 0.9329
35 H 0.0671 0.6073 0.9151
36 H 0.0671 0.9598 0.1520
37 H 0.0849 0.6520 0.6923
38 H 0.0849 0.9329 0.3927
39 H 0.1073 0.0402 0.6923
40 H 0.1073 0.5671 0.4151
41 H 0.1520 0.0671 0.9598
42 H 0.1520 0.5849 0.1923
43 H 0.1923 0.1520 0.5849
44 H 0.1923 0.5402 0.6073
45 H 0.3077 0.8927 0.9598
46 H 0.3077 0.9151 0.3480
47 H 0.3480 0.3077 0.9151
48 H 0.3480 0.5402 0.4329
49 H 0.3927 0.0849 0.9329
50 H 0.3927 0.8077 0.4598
51 H 0.4151 0.1073 0.5671
52 H 0.4151 0.8077 0.8480
53 H 0.4329 0.3480 0.5402
54 H 0.4329 0.5849 0.8927
55 H 0.4598 0.3927 0.8077
56 H 0.4598 0.5671 0.6520
57 H 0.5402 0.4329 0.3480
58 H 0.5402 0.6073 0.1923
59 H 0.5671 0.4151 0.1073
60 H 0.5671 0.6520 0.4598
61 H 0.5849 0.1923 0.1520
62 H 0.5849 0.8927 0.4329
63 H 0.6073 0.1923 0.5402
64 H 0.6073 0.9151 0.0671
65 H 0.6520 0.4598 0.5671
66 H 0.6520 0.6923 0.0849
67 H 0.6923 0.0849 0.6520
68 H 0.6923 0.1073 0.0402
69 H 0.8077 0.4598 0.3927
70 H 0.8077 0.8480 0.4151
71 H 0.8480 0.4151 0.8077
72 H 0.8480 0.9329 0.0402
73 H 0.8927 0.4329 0.5849
74 H 0.8927 0.9598 0.3077
75 H 0.9151 0.0671 0.6073
76 H 0.9151 0.3480 0.3077
77 H 0.9329 0.0402 0.8480
78 H 0.9329 0.3927 0.0849
79 H 0.9598 0.1520 0.0671
80 H 0.9598 0.3077 0.8927

Values from the calculation:
Raw total energy   -2.88 eV/atom

***

## CsCu2H (GGA-PBE)

Data for CsCu2H after structural relaxation.

Unit cell a=6.3179 b=6.3179 c=6.3179 alpha=126.83 beta=126.83 gamma=78.52
Positions (direct):
1 Cs 0.3750 0.6250 0.7500
2 Cs 0.6250 0.3750 0.2500
3 Cu 0.0000 0.0000 0.0000
4 Cu 0.0000 0.0000 0.5000
5 Cu 0.0000 0.5000 0.0000
6 Cu 0.5000 0.0000 0.5000
7 H 0.1250 0.8750 0.2500
8 H 0.8750 0.1250 0.7500

Values from the calculation:
Raw total energy   -2.59 eV/atom

***

## Cs3CuH (GGA-PBE)

Data for Cs3CuH after structural relaxation.

Unit cell a=6.0647 b=6.0647 c=6.0647 alpha=90.00 beta=90.00 gamma=90.00
Positions (direct):
1 Cs 0.0000 0.0000 0.5000
2 Cs 0.0000 0.5000 0.0000
3 Cs 0.5000 0.0000 0.0000
4 Cu 0.5000 0.5000 0.5000
5 H 0.0000 0.0000 0.0000

Values from the calculation:
Raw total energy   -1.82 eV/atom

***

## Cs3CuH5 (GGA-PBE)

Data for Cs3CuH5 after structural relaxation.

Unit cell a=8.5653 b=8.5653 c=8.5653 alpha=122.51 beta=122.51 gamma=85.70
Positions (direct):
1 Cs 0.1788 0.6788 0.8576
2 Cs 0.2500 0.2500 0.0000
3 Cs 0.3212 0.1788 0.5000
4 Cs 0.6788 0.8212 0.5000
5 Cs 0.7500 0.7500 0.0000
6 Cs 0.8212 0.3212 0.1424
7 Cu 0.2500 0.7500 0.5000
8 Cu 0.7500 0.2500 0.5000
9 H 0.0000 0.0000 0.0000
10 H 0.0591 0.7674 0.5000
11 H 0.2326 0.7326 0.2917
12 H 0.2674 0.5591 0.5000
13 H 0.4409 0.9409 0.7083
14 H 0.5000 0.5000 0.0000
15 H 0.5591 0.0591 0.2917
16 H 0.7326 0.4409 0.5000
17 H 0.7674 0.2674 0.7083
18 H 0.9409 0.2326 0.5000

Values from the calculation:
Raw total energy   -2.63 eV/atom

***

## Cs2Cu2H (GGA-PBE)

Data for Cs2Cu2H after structural relaxation.

Unit cell a=8.8614 b=8.8614 c=5.0100 alpha=90.00 beta=90.00 gamma=90.00
Positions (direct):
1 Cs 0.1993 0.3007 0.0000
2 Cs 0.3007 0.8007 0.0000
3 Cs 0.6993 0.1993 0.0000
4 Cs 0.8007 0.6993 0.0000
5 Cu 0.0919 0.5919 0.5000
6 Cu 0.4081 0.0919 0.5000
7 Cu 0.5919 0.9081 0.5000
8 Cu 0.9081 0.4081 0.5000
9 H 0.0000 0.0000 0.0000
10 H 0.5000 0.5000 0.0000

Values from the calculation:
Raw total energy   -2.07 eV/atom

***

## Cs3Cu2H4 (GGA-PBE)

Data for Cs3Cu2H4 after structural relaxation.

Unit cell a=9.1166 b=9.1166 c=6.6503 alpha=90.82 beta=90.82 gamma=91.06
Positions (direct):
1 Cs 0.0964 0.9036 0.7500
2 Cs 0.2244 0.4407 0.0503
3 Cs 0.4407 0.2244 0.5503
4 Cs 0.5593 0.7756 0.4497
5 Cs 0.7756 0.5593 0.9497
6 Cs 0.9036 0.0964 0.2500
7 Cu 0.0437 0.3914 0.5670
8 Cu 0.3914 0.0437 0.0670
9 Cu 0.6086 0.9563 0.9330
10 Cu 0.9563 0.6086 0.4330
11 H 0.0373 0.5653 0.6615
12 H 0.0971 0.2408 0.6454
13 H 0.2408 0.0971 0.1454
14 H 0.4347 0.9627 0.8385
15 H 0.5653 0.0373 0.1615
16 H 0.7592 0.9029 0.8546
17 H 0.9029 0.7592 0.3546
18 H 0.9627 0.4347 0.3385

Values from the calculation:
Raw total energy   -2.74 eV/atom

***

## Cs2CuHI6 (GGA-PBE)

Data for Cs2CuHI6 after structural relaxation.

Unit cell a=8.3668 b=8.3668 c=8.3668 alpha=124.89 beta=124.89 gamma=81.72
Positions (direct):
1 Cs 0.2500 0.7500 0.5000
2 Cs 0.7500 0.2500 0.5000
3 Cu 0.0000 0.0000 0.0000
4 H 0.5000 0.5000 0.0000
5 I 0.2035 0.2035 0.0000
6 I 0.2691 0.2691 0.5382
7 I 0.2691 0.7309 0.0000
8 I 0.7309 0.2691 0.0000
9 I 0.7309 0.7309 0.4618
10 I 0.7965 0.7965 0.0000

Values from the calculation:
Raw total energy   -2.28 eV/atom